(1)
## KSn3Au3 (PBE-GGA)

Data for a relaxed KSn3Au3 crystal.

SG	P2_1/m (11)
ρ	9.05	Mg/m³

abc: 4.8336 9.2790 9.0817
angles: 117.28 90.00 90.00
Last column: nearest neighbours and their distance in Å.
Positions (direct):
Sn (0.2500, 0.7157, 0.7461)  4 Au 2.83-2.94
Sn (0.7500, 0.7528, 0.0315)  4 Au 2.91-2.94
Sn (0.2500, 0.2472, 0.9685)  4 Au 2.91-2.94
Sn (0.2500, 0.0457, 0.2791)  4 Au 2.90-2.99
Sn (0.7500, 0.9543, 0.7209)  4 Au 2.90-2.99
Sn (0.7500, 0.2843, 0.2539)  4 Au 2.83-2.94
Au (0.7500, 0.9502, 0.3899)  4 Sn 2.91-2.99, 2 Au 3.00, 1 K 3.24
Au (0.2500, 0.3968, 0.4515)  4 Sn 2.90-2.94, 2 Au 2.96, 1 K 3.23
Au (0.2500, 0.5505, 0.9415)  4 Sn 2.83-2.94, 2 Au 2.96
Au (0.7500, 0.4495, 0.0585)  4 Sn 2.83-2.94, 2 Au 2.96
Au (0.2500, 0.0498, 0.6101)  4 Sn 2.91-2.99, 2 Au 3.00, 1 K 3.24
Au (0.7500, 0.6032, 0.5485)  4 Sn 2.90-2.94, 2 Au 2.96, 1 K 3.23
K (0.2500, 0.6742, 0.3306)  9 Au 3.18-3.40
K (0.7500, 0.3258, 0.6694)  9 Au 3.18-3.40



(2)
## KSn3Au3 (PBE-GGA)

Data for a relaxed KSn3Au3 crystal.

SG	Pm-3n (223)
ρ	7.16	Mg/m³

abc: 7.7054 7.7054 7.7054
angles: 90.00 90.00 90.00
Last column: nearest neighbours and their distance in Å.
Positions (direct):
Sn (0.5000, 0.0000, 0.7500)  4 Au 2.72
Sn (0.5000, 0.0000, 0.2500)  4 Au 2.72
Sn (0.0000, 0.7500, 0.5000)  4 Au 2.72
Sn (0.2500, 0.5000, 0.0000)  4 Au 2.72
Sn (0.0000, 0.2500, 0.5000)  4 Au 2.72
Sn (0.7500, 0.5000, 0.0000)  4 Au 2.72
Au (0.5000, 0.2500, 0.0000)  4 Sn 2.72
Au (0.0000, 0.5000, 0.7500)  4 Sn 2.72
Au (0.0000, 0.5000, 0.2500)  4 Sn 2.72
Au (0.2500, 0.0000, 0.5000)  4 Sn 2.72
Au (0.7500, 0.0000, 0.5000)  4 Sn 2.72
Au (0.5000, 0.7500, 0.0000)  4 Sn 2.72
K (0.0000, 0.0000, 0.0000)  12 Sn 4.31, 12 Au 4.31
K (0.5000, 0.5000, 0.5000)  12 Sn 4.31, 12 Au 4.31



The relative energies come out as (1) 0; (2) 38, with values in meV/atom.